Material: Rb2TmCdF6
Method: DFT, PBE
State: optimized geometry

a b c (Å): 6.569 9.306 6.655
angles (deg): 90.00 90.00 90.00
Positions (direct):
1 Rb 0.250 0.004 0.238
2 Rb 0.250 0.496 0.238
3 Rb 0.750 0.504 0.762
4 Rb 0.750 0.996 0.762
5 Tm 0.250 0.750 0.763
6 Tm 0.750 0.250 0.237
7 Cd 0.250 0.250 0.739
8 Cd 0.750 0.750 0.261
9 F 0.018 0.750 0.538
10 F 0.018 0.750 0.992
11 F 0.250 0.520 0.779
12 F 0.250 0.980 0.779
13 F 0.482 0.750 0.538
14 F 0.482 0.750 0.992
15 F 0.518 0.250 0.008
16 F 0.518 0.250 0.462
17 F 0.750 0.020 0.221
18 F 0.750 0.480 0.221
19 F 0.982 0.250 0.008
20 F 0.982 0.250 0.462

## Properties
Space-group type: Pmmn, No. 59
Volume (Å³/cell): 406.8
Uncorrected formation energy (eV per atom): -2.98
Size of the total moment (μB per cell): 1.6

Material: SrNiBi2
Method: DFT, PBE
State: optimized geometry

a b c (Å): 9.636 9.636 9.636
angles (deg): 24.82 24.82 24.82
Positions (direct):
1 Sr 0.000 0.000 0.000
2 Ni 0.500 0.500 0.500
3 Bi 0.124 0.124 0.124
4 Bi 0.876 0.876 0.876

## Properties
Space-group type: R-3m, No. 166
Formation energy (eV/atom): 0.02
Volume (Å³/cell): 138.7
Size of the total moment (μB per cell): 0.0

The highest size of the total moment belongs to which entry? Rb2TmCdF6

Among the records above, which one has the lowest size of the total moment? SrNiBi2

Which value of volume does entry 2 give? 138.7 Å³/cell